Entry 1:
A relaxed CoGePdAu crystal, computed with PBE.

Geometry as POSCAR:
```
CoGePdAu
1.0
6.2263 0.0000 0.0000
0.0000 6.2263 0.0000
0.0000 0.0000 6.2263
Co Ge Pd Au
4 4 4 4
Cartesian
0.0000 0.0000 0.0000
0.0000 3.1131 3.1131
3.1131 0.0000 3.1131
3.1131 3.1131 0.0000
1.5566 1.5566 4.6697
1.5566 4.6697 1.5566
4.6697 1.5566 1.5566
4.6697 4.6697 4.6697
0.0000 0.0000 3.1131
0.0000 3.1131 0.0000
3.1131 0.0000 0.0000
3.1131 3.1131 3.1131
1.5566 1.5566 1.5566
1.5566 4.6697 4.6697
4.6697 1.5566 4.6697
4.6697 4.6697 1.5566
```

total magnetization: 0.303 μB/atom
excess energy over the best structure of this formula in the dataset: 0.000 eV per atom
space-group type: F-43m

Entry 2:
A relaxed PmYCo crystal, computed with PBE.

Geometry as POSCAR:
```
PmYCo
1.0
6.6690 0.0000 0.0000
0.0000 6.6690 0.0000
0.0000 0.0000 6.6690
Pm Y Co
4 4 4
Cartesian
0.0000 0.0000 0.0000
0.0000 3.3345 3.3345
3.3345 0.0000 3.3345
3.3345 3.3345 0.0000
1.6672 1.6672 5.0017
1.6672 5.0017 1.6672
5.0017 1.6672 1.6672
5.0017 5.0017 5.0017
0.0000 0.0000 3.3345
0.0000 3.3345 0.0000
3.3345 0.0000 0.0000
3.3345 3.3345 3.3345
```

total magnetization: 0.002 μB/atom
excess energy over the best structure of this formula in the dataset: 0.000 eV per atom
space-group type: F-43m
energy of formation: 0.792 eV/atom

Entry 3:
A relaxed Er2AlIr3 crystal, computed with PBE.

Geometry as POSCAR:
```
Er2AlIr3
1.0
5.5519 0.0000 0.0000
-2.7760 4.8081 0.0000
0.0000 0.0000 7.9863
Er Al Ir
4 2 6
Cartesian
0.0000 3.2054 0.4922
0.0000 3.2054 3.5009
2.7760 1.6027 4.4854
2.7760 1.6027 7.4941
0.0000 0.0000 0.0000
0.0000 0.0000 3.9932
0.0000 1.6342 5.9897
-1.3607 3.9910 5.9897
1.4153 0.8171 1.9966
1.3607 3.9910 5.9897
4.1367 0.8171 1.9966
2.7760 3.1739 1.9966
```

total magnetization: 0.002 μB/atom
space-group type: P6_3/mmc
E_tot: -7.54 eV/atom

Entry 4:
A relaxed LiErAsO crystal, computed with PBE.

Geometry as POSCAR:
```
LiErAsO
1.0
3.9993 0.0000 0.0000
0.0000 3.9993 0.0000
0.0000 0.0000 4.5565
Li Er As O
1 1 1 1
Cartesian
0.0000 0.0000 0.0000
1.9996 1.9996 2.2782
0.0000 0.0000 2.2782
1.9996 1.9996 0.0000
```

total magnetization: 0.006 μB/atom
excess energy over the best structure of this formula in the dataset: 0.539 eV per atom
space-group type: P4/mmm

Entry 5:
A relaxed Mo6S crystal, computed with PBE.

Geometry as POSCAR:
```
Mo6S
1.0
6.5874 0.0000 0.0000
0.0000 6.5874 0.0000
0.0000 0.0000 6.5874
Mo S
12 2
Cartesian
0.0000 0.0000 2.2394
0.0000 0.0000 4.3480
0.0000 2.2394 0.0000
0.0000 4.3480 0.0000
1.0543 3.2937 3.2937
2.2394 0.0000 0.0000
3.2937 1.0543 3.2937
3.2937 3.2937 1.0543
3.2937 3.2937 5.5331
3.2937 5.5331 3.2937
4.3480 0.0000 0.0000
5.5331 3.2937 3.2937
0.0000 0.0000 0.0000
3.2937 3.2937 3.2937
```

total magnetization: 0.000 μB/atom
space-group type: Im-3m
E_tot: -8.21 eV/atom

Entry 6:
A relaxed HfCoAsOs crystal, computed with PBE.

Geometry as POSCAR:
```
HfCoAsOs
1.0
6.2502 0.0000 0.0000
0.0000 6.2502 0.0000
0.0000 0.0000 6.2502
Hf Co As Os
4 4 4 4
Cartesian
0.0000 0.0000 0.0000
0.0000 3.1251 3.1251
3.1251 0.0000 3.1251
3.1251 3.1251 0.0000
1.5625 1.5625 4.6876
1.5625 4.6876 1.5625
4.6876 1.5625 1.5625
4.6876 4.6876 4.6876
0.0000 0.0000 3.1251
0.0000 3.1251 0.0000
3.1251 0.0000 0.0000
3.1251 3.1251 3.1251
1.5625 1.5625 1.5625
1.5625 4.6876 4.6876
4.6876 1.5625 4.6876
4.6876 4.6876 1.5625
```

total magnetization: 0.446 μB/atom
excess energy over the best structure of this formula in the dataset: 0.000 eV per atom
space-group type: F-43m

Entry 7:
A relaxed LiNbInCo crystal, computed with PBE.

Geometry as POSCAR:
```
LiNbInCo
1.0
6.1542 0.0000 0.0000
0.0000 6.1542 0.0000
0.0000 0.0000 6.1542
Li Nb In Co
4 4 4 4
Cartesian
0.0000 0.0000 0.0000
0.0000 3.0771 3.0771
3.0771 0.0000 3.0771
3.0771 3.0771 0.0000
1.5385 1.5385 1.5385
1.5385 4.6156 4.6156
4.6156 1.5385 4.6156
4.6156 4.6156 1.5385
1.5385 1.5385 4.6156
1.5385 4.6156 1.5385
4.6156 1.5385 1.5385
4.6156 4.6156 4.6156
0.0000 0.0000 3.0771
0.0000 3.0771 0.0000
3.0771 0.0000 0.0000
3.0771 3.0771 3.0771
```

total magnetization: 0.000 μB/atom
excess energy over the best structure of this formula in the dataset: 0.000 eV per atom
space-group type: F-43m

Entry 8:
A relaxed TbHoAg2Te4 crystal, computed with PBE.

Geometry as POSCAR:
```
TbHoAg2Te4
1.0
10.0484 0.0000 0.0000
0.0000 10.0488 0.0000
0.0000 0.0000 4.7220
Tb Ho Ag Te
2 2 4 8
Cartesian
0.0000 0.0000 0.0000
5.0242 5.0244 0.0000
0.0000 5.0244 2.9191
5.0242 0.0000 2.9191
2.5121 2.5122 3.8283
2.5121 7.5366 3.8283
7.5363 2.5122 3.8283
7.5363 7.5366 3.8283
0.0000 3.0073 0.4773
0.0000 7.0415 0.4773
2.0424 0.0000 2.4415
2.9818 5.0244 2.4415
5.0242 2.0171 0.4773
5.0242 8.0317 0.4773
7.0667 5.0244 2.4415
8.0060 0.0000 2.4415
```

total magnetization: 0.000 μB/atom
space-group type: Cmm2
E_tot: -4.35 eV/atom

Entry 9:
A relaxed NbMo2W2 crystal, computed with PBE.

Geometry as POSCAR:
```
NbMo2W2
1.0
4.1193 0.0000 0.0000
0.0000 4.1193 0.0000
0.0000 0.0000 11.0850
Nb Mo W
2 4 4
Cartesian
0.0000 0.0000 0.0000
2.0597 2.0597 5.5425
0.0000 0.0000 4.2981
0.0000 0.0000 6.7868
2.0597 2.0597 1.2443
2.0597 2.0597 9.8406
0.0000 2.0597 2.7712
0.0000 2.0597 8.3137
2.0597 0.0000 2.7712
2.0597 0.0000 8.3137
```

total magnetization: 0.042 μB/atom
space-group type: I4/mmm
energy of formation: 0.887 eV/atom

Entry 10:
A relaxed HfSc2Os crystal, computed with PBE.

Geometry as POSCAR:
```
HfSc2Os
1.0
6.7007 0.0000 0.0000
0.0000 6.7007 0.0000
0.0000 0.0000 6.7007
Hf Sc Os
4 8 4
Cartesian
0.0000 0.0000 0.0000
0.0000 3.3503 3.3503
3.3503 0.0000 3.3503
3.3503 3.3503 0.0000
0.0000 0.0000 3.3503
0.0000 3.3503 0.0000
1.6752 1.6752 1.6752
1.6752 5.0255 5.0255
3.3503 0.0000 0.0000
3.3503 3.3503 3.3503
5.0255 1.6752 5.0255
5.0255 5.0255 1.6752
1.6752 1.6752 5.0255
1.6752 5.0255 1.6752
5.0255 1.6752 1.6752
5.0255 5.0255 5.0255
```

total magnetization: 0.117 μB/atom
space-group type: F-43m
energy of formation: -0.195 eV/atom

Entry 11:
A relaxed LuTa2Co crystal, computed with PBE.

Geometry as POSCAR:
```
LuTa2Co
1.0
6.5367 0.0000 0.0000
0.0000 6.5367 0.0000
0.0000 0.0000 6.5367
Lu Ta Co
4 8 4
Cartesian
0.0000 0.0000 0.0000
0.0000 3.2683 3.2683
3.2683 0.0000 3.2683
3.2683 3.2683 0.0000
0.0000 0.0000 3.2683
0.0000 3.2683 0.0000
1.6342 1.6342 4.9025
1.6342 4.9025 1.6342
3.2683 0.0000 0.0000
3.2683 3.2683 3.2683
4.9025 1.6342 1.6342
4.9025 4.9025 4.9025
1.6342 1.6342 1.6342
1.6342 4.9025 4.9025
4.9025 1.6342 4.9025
4.9025 4.9025 1.6342
```

total magnetization: 0.338 μB/atom
space-group type: F-43m
energy of formation: 0.256 eV/atom

Entry 12:
A relaxed CsPr2CuTeS3 crystal, computed with PBE.

Geometry as POSCAR:
```
CsPr2CuTeS3
1.0
2.1262 -7.4261 0.0000
2.1262 7.4261 0.0000
0.0000 0.0000 14.5997
Cs Pr Cu Te S
2 4 2 2 6
Cartesian
2.1262 5.4974 10.9498
2.1262 -5.4974 3.6499
2.1262 1.9775 8.0169
2.1262 1.9775 13.8827
2.1262 -1.9775 0.7170
2.1262 -1.9775 6.5828
2.1262 4.9591 3.6499
2.1262 -4.9591 10.9498
2.1262 0.9462 10.9498
2.1262 -0.9462 3.6499
0.0000 0.0000 0.0000
0.0000 0.0000 7.2998
2.1262 3.7398 1.5696
2.1262 3.7398 5.7303
2.1262 -3.7398 8.8694
2.1262 -3.7398 13.0301
```

total magnetization: 0.000 μB/atom
excess energy over the best structure of this formula in the dataset: 0.038 eV per atom
space-group type: Cmcm